Record 1
# TlBiRuN

Crystalline TlBiRuN at its relaxed geometry (PBE-GGA, Alexandria via LeMat-Bulk).

The calculation puts the energy relative to the lowest polymorph listed for this composition at 0.093 eV per atom. The value obtained for the raw formation energy is 328 meV/atom.

It has space group P1 (No. 1), with a = 3.760 Å, b = 4.402 Å, c = 6.450 Å, α = 98.63°, β = 95.81° and γ = 114.78°. Symmetry generates all atoms from Tl at (0.000, 0.000, 0.000), Bi at (0.390, 0.702, 0.437), Ru at (0.783, 0.358, 0.679) and N at (0.284, 0.350, 0.701).



Record 2
# BeHg2Bi

Crystalline BeHg2Bi at its relaxed geometry (PBE-GGA, Alexandria via LeMat-Bulk).

The calculation puts the energy relative to the lowest polymorph listed for this composition at 0.000 eV per atom. The formation energy is 1.6 eV/f.u.

It has space group I-42d (No. 122), with a = 4.831 Å, b = 4.831 Å, c = 17.267 Å, α = 90.00°, β = 90.00° and γ = 90.00°. Symmetry generates all atoms from Be at (0.000, 0.000, 0.000), Hg at (0.159, 0.250, 0.125) and Bi at (0.000, 0.000, 0.500).



Record 3
# CdHgOF2

Crystalline CdHgOF2 at its relaxed geometry (PBE-GGA, Alexandria via LeMat-Bulk).

The calculation puts the energy relative to the lowest polymorph listed for this composition at 0.234 eV per atom. The value obtained for the raw formation energy is -711 meV/atom.

It has space group P4/mmm (No. 123), with a = 4.513 Å, b = 4.513 Å, c = 4.275 Å, α = 90.00°, β = 90.00° and γ = 90.00°. Symmetry generates all atoms from Cd at (0.000, 0.000, 0.000), Hg at (0.500, 0.500, 0.500), O at (0.500, 0.500, 0.000) and F at (0.000, 0.500, 0.500).



Record 4
# Be2SiPd8

Crystalline Be2SiPd8 at its relaxed geometry (PBE-GGA, Alexandria via LeMat-Bulk).

The calculation puts the energy relative to the lowest polymorph listed for this composition at 0.000 eV per atom. The value obtained for the raw formation energy is -432 meV/atom.

It has space group C2/m (No. 12), with a = 14.320 Å, b = 4.001 Å, c = 5.554 Å, α = 90.00°, β = 105.97° and γ = 90.00°. Symmetry generates all atoms from Be at (0.186, 0.000, 0.212), Si at (0.000, 0.500, 0.500), Pd at (0.031, 0.000, 0.273), Pd at (0.096, 0.500, 0.956), Pd at (0.168, 0.500, 0.470) and Pd at (0.205, 0.000, 0.821).



Record 5
# SmH4Pd4

Crystalline SmH4Pd4 at its relaxed geometry (PBE-GGA, Alexandria via LeMat-Bulk).

It has space group I4/m (No. 87), with a = 7.023 Å, b = 7.023 Å, c = 4.029 Å, α = 90.00°, β = 90.00° and γ = 90.00°. Symmetry generates all atoms from Sm at (0.000, 0.000, 0.000), H at (0.163, 0.333, 0.500) and Pd at (0.110, 0.694, 0.500).



Record 6
# RbAl2Co

Crystalline RbAl2Co at its relaxed geometry (PBE-GGA, Alexandria via LeMat-Bulk).

The calculation puts the energy relative to the lowest polymorph listed for this composition at 0.652 eV per atom. The formation energy is 3.8 eV/f.u.

It has space group Fm-3m (No. 225), with a = 6.939 Å, b = 6.939 Å, c = 6.939 Å, α = 90.00°, β = 90.00° and γ = 90.00°. Symmetry generates all atoms from Rb at (0.000, 0.000, 0.000), Al at (0.250, 0.250, 0.250) and Co at (0.000, 0.000, 0.500).



no.,density (Mg/m³),E (eV per atom)
1,9.31,-5.634
2,10.21,-1.643
3,7.00,-2.695
4,9.74,-5.380
5,9.69,-4.742
6,3.94,-2.952